DFT (PBE) results for an optimized crystal structure of CrCl.

Output
Its electronic total energy is -0.385 Ry per atom. For the spin magnetization, the calculation gives 5.00 μB per formula unit. The calculation puts the raw formation energy at 0.496 eV/atom.

Cell lengths 6.9081, 6.9081, 6.9081 Å; angles 90.00, 90.00, 90.00 degrees
With the nearest neighbours (Å) after each atom.
Space group Fd-3m (No. 227, origin choice 2)
Symmetry-distinct sites (fractional):
Cr: 0.1250 0.1250 0.1250  4 Cr 2.99, 4 Cl 2.99
Cl: 0.1250 0.1250 0.6250  4 Cl 2.99, 4 Cr 2.99

DFT (PBE) results for an optimized crystal structure of Cr3Cl.

Output
Its electronic total energy is -0.506 Ry per atom. The energy above the most stable polymorph in this dataset is 645 meV per atom. For the spin magnetization, the calculation gives 3.73 μB per formula unit. The calculation puts the raw formation energy at 0.798 eV/atom.

Cell lengths 4.0245, 4.0245, 7.7452 Å; angles 90.00, 90.00, 90.00 degrees
With the nearest neighbours (Å) after each atom.
Space group I4/mmm (No. 139)
Symmetry-distinct sites (fractional):
Cr: 0.0000 0.0000 0.0000  8 Cr 2.79, 4 Cl 2.85
Cr: 0.0000 0.5000 0.2500  8 Cr 2.79-2.85, 4 Cl 2.79
Cl: 0.0000 0.0000 0.5000  12 Cr 2.79-2.85

DFT (PBE) results for an optimized crystal structure of CrCl.

Output
Its electronic total energy is -0.425 Ry per atom. For the spin magnetization, the calculation gives 0.00 μB per formula unit. The calculation puts the raw formation energy at -0.054 eV/atom.

Cell lengths 10.2450, 10.2450, 3.0567 Å; angles 90.00, 90.00, 90.00 degrees
With the nearest neighbours (Å) after each atom.
Space group I4/m (No. 87)
Symmetry-distinct sites (fractional):
Cr: 0.1908 0.7092 0.0000  2 Cr 2.12, 1 Cl 2.29
Cl: 0.0038 0.7591 0.5000  3 Cr 2.29-2.50